A relaxed structure of Ac3Al9Ga2. Source: Alexandria, functional PBE-GGA.

- DFT formation energy: -7.627 kcal/mol of atoms
- Total magnetic moment: 0.00 μB per cell

Lattice parameters (Å, degrees): 8.775 8.775 8.775 149.88 107.91 80.06
Positions (direct):
1 Ac 0.000 0.000 0.000
2 Ac 0.318 0.318 0.000
3 Ac 0.682 0.682 0.000
4 Al 0.031 0.665 0.367
5 Al 0.130 0.859 0.271
6 Al 0.298 0.665 0.633
7 Al 0.413 0.141 0.271
8 Al 0.500 0.000 0.500
9 Al 0.587 0.859 0.729
10 Al 0.702 0.335 0.367
11 Al 0.870 0.141 0.729
12 Al 0.969 0.335 0.633
13 Ga 0.279 0.500 0.779
14 Ga 0.721 0.500 0.221

A relaxed structure of Tl2Sn12Au7. Source: Alexandria, functional PBE-GGA.

- DFT formation energy: -2.524 kcal/mol of atoms
- Total magnetic moment: 0.00 μB per cell

Lattice parameters (Å, degrees): 11.725 11.725 4.485 90.00 90.00 120.00
Positions (direct):
1 Tl 0.000 0.000 0.000
2 Tl 0.333 0.667 0.500
3 Sn 0.040 0.261 0.500
4 Sn 0.114 0.696 0.000
5 Sn 0.222 0.960 0.500
6 Sn 0.304 0.417 0.000
7 Sn 0.387 0.186 0.000
8 Sn 0.550 0.445 0.500
9 Sn 0.555 0.104 0.500
10 Sn 0.583 0.886 0.000
11 Sn 0.739 0.778 0.500
12 Sn 0.799 0.613 0.000
13 Sn 0.814 0.201 0.000
14 Sn 0.896 0.450 0.500
15 Au 0.076 0.441 0.000
16 Au 0.270 0.243 0.500
17 Au 0.365 0.924 0.000
18 Au 0.559 0.635 0.000
19 Au 0.667 0.333 0.000
20 Au 0.757 0.027 0.500
21 Au 0.973 0.730 0.500

A relaxed structure of KBeCr2. Source: Alexandria, functional PBE-GGA.

- DFT formation energy: 18.340 kcal/mol of atoms
- Total magnetic moment: 0.75 μB per cell

Lattice parameters (Å, degrees): 3.149 3.149 7.438 90.00 90.00 90.00
Positions (direct):
1 K 0.000 0.000 0.000
2 Be 0.000 0.000 0.500
3 Cr 0.500 0.500 0.377
4 Cr 0.500 0.500 0.623

A relaxed structure of Pm2PtAu2. Source: Alexandria, functional PBE-GGA.

- DFT formation energy: -18.213 kcal/mol of atoms
- Energy relative to the lowest polymorph listed for this composition: 123 meV/atom
- Total magnetic moment: 0.00 μB per cell

Lattice parameters (Å, degrees): 7.952 7.952 7.952 132.07 67.59 135.34
Positions (direct):
1 Pm 0.144 0.233 0.377
2 Pm 0.356 0.733 0.089
3 Pm 0.644 0.267 0.911
4 Pm 0.856 0.767 0.623
5 Pt 0.250 0.750 0.500
6 Pt 0.750 0.250 0.500
7 Au 0.126 0.768 0.894
8 Au 0.374 0.268 0.642
9 Au 0.626 0.732 0.358
10 Au 0.874 0.232 0.106

A relaxed structure of SrI3Br. Source: Alexandria, functional PBE-GGA.

- ΔE_f (raw): -38.43 kJ/mol of atoms
- Energy relative to the lowest polymorph listed for this composition: 176 meV/atom
- Total magnetic moment: 0.00 μB per cell

Lattice parameters (Å, degrees): 6.055 6.055 6.055 90.00 90.00 90.00
Positions (direct):
1 Sr 0.000 0.000 0.000
2 I 0.000 0.500 0.500
3 I 0.500 0.000 0.500
4 I 0.500 0.500 0.000
5 Br 0.500 0.500 0.500

A relaxed structure of Be2CuAu6. Source: Alexandria, functional PBE-GGA.

- DFT formation energy: -1.712 kcal/mol of atoms
- Total magnetic moment: 0.00 μB per cell

Lattice parameters (Å, degrees): 5.903 5.903 8.184 123.55 123.55 37.24
Positions (direct):
1 Be 0.097 0.097 0.255
2 Be 0.903 0.903 0.745
3 Cu 0.500 0.500 0.000
4 Au 0.171 0.171 0.029
5 Au 0.216 0.216 0.624
6 Au 0.491 0.491 0.324
7 Au 0.509 0.509 0.676
8 Au 0.784 0.784 0.376
9 Au 0.829 0.829 0.971

A relaxed structure of Pu2BiRh. Source: Alexandria, functional PBE-GGA.

- DFT formation energy: 0.110 kcal/mol of atoms
- Energy relative to the lowest polymorph listed for this composition: 341 meV/atom
- Total magnetic moment: 1.44 μB per cell

Lattice parameters (Å, degrees): 6.511 3.625 7.491 90.00 111.23 90.00
Positions (direct):
1 Pu 0.040 0.250 0.418
2 Pu 0.121 0.750 0.046
3 Pu 0.879 0.250 0.954
4 Pu 0.960 0.750 0.582
5 Bi 0.479 0.750 0.681
6 Bi 0.521 0.250 0.319
7 Rh 0.324 0.250 0.886
8 Rh 0.676 0.750 0.114

A relaxed structure of Tb2CuPd8. Source: Alexandria, functional PBE-GGA.

- DFT formation energy: -11.688 kcal/mol of atoms
- Total magnetic moment: 0.00 μB per cell

Lattice parameters (Å, degrees): 7.621 7.621 6.187 105.14 105.14 33.36
Positions (direct):
1 Tb 0.209 0.209 0.172
2 Tb 0.791 0.791 0.828
3 Cu 0.500 0.500 0.500
4 Pd 0.025 0.025 0.237
5 Pd 0.153 0.153 0.677
6 Pd 0.346 0.346 0.606
7 Pd 0.407 0.407 0.076
8 Pd 0.593 0.593 0.924
9 Pd 0.654 0.654 0.394
10 Pd 0.847 0.847 0.323
11 Pd 0.975 0.975 0.763

Q: Look up the total magnetic moment of the sixth one.
A: 0.00 μB per cell

Repeat the third record exactly.
A relaxed structure of KBeCr2. Source: Alexandria, functional PBE-GGA.

- DFT formation energy: 18.340 kcal/mol of atoms
- Total magnetic moment: 0.75 μB per cell

Lattice parameters (Å, degrees): 3.149 3.149 7.438 90.00 90.00 90.00
Positions (direct):
1 K 0.000 0.000 0.000
2 Be 0.000 0.000 0.500
3 Cr 0.500 0.500 0.377
4 Cr 0.500 0.500 0.623

Q: The highest total magnetic moment belongs to which entry?
A: Pu2BiRh

Copy entry 6 word for word.
A relaxed structure of Be2CuAu6. Source: Alexandria, functional PBE-GGA.

- DFT formation energy: -1.712 kcal/mol of atoms
- Total magnetic moment: 0.00 μB per cell

Lattice parameters (Å, degrees): 5.903 5.903 8.184 123.55 123.55 37.24
Positions (direct):
1 Be 0.097 0.097 0.255
2 Be 0.903 0.903 0.745
3 Cu 0.500 0.500 0.000
4 Au 0.171 0.171 0.029
5 Au 0.216 0.216 0.624
6 Au 0.491 0.491 0.324
7 Au 0.509 0.509 0.676
8 Au 0.784 0.784 0.376
9 Au 0.829 0.829 0.971